(1)
Here is a relaxed structure of InTeSe from the Alexandria database. Energies are from PBE.

Cell: 7.6272 6.3701 9.4389 Å, 90.00 119.94 90.00°
Element x y z (fractional)
1 Te 0.6092 0.9694 0.8466
2 Te 0.8908 0.4694 0.1534
3 Te 0.3908 0.0306 0.1534
4 Te 0.1092 0.5306 0.8466
5 Se 0.0104 0.8575 0.4041
6 Se 0.4896 0.3575 0.5959
7 Se 0.9896 0.1425 0.5959
8 Se 0.5104 0.6425 0.4041
9 In 0.8097 0.8357 0.6806
10 In 0.6903 0.3357 0.3194
11 In 0.1903 0.1643 0.3194
12 In 0.3097 0.6643 0.6806

Calculated values
- ΔE_f (raw) (eV per atom) = -0.294
- total magnetization (μB per formula unit) = 0.00
- E above lowest polymorph (eV per atom) = 0.0000



(2)
Here is a relaxed structure of K2LaTl from the Alexandria database. Energies are from PBE.

Cell: 6.0247 6.0247 6.0247 Å, 60.00 60.00 60.00°
Element x y z (fractional)
1 Tl 0.5000 0.5000 0.5000
2 K 0.2500 0.2500 0.2500
3 K 0.7500 0.7500 0.7500
4 La 0.0000 0.0000 0.0000

Calculated values
- DFT formation energy (eV per formula unit) = 1.567
- total magnetization (μB per formula unit) = 0.00
- E above lowest polymorph (eV per atom) = 0.4060



(3)
Here is a relaxed structure of TcW2Se2 from the Alexandria database. Energies are from PBE.

Cell: 7.1495 7.1495 3.2424 Å, 90.00 90.00 90.00°
Element x y z (fractional)
1 Se 0.1514 0.6514 0.5000
2 Se 0.6514 0.8486 0.5000
3 Se 0.8486 0.3486 0.5000
4 Se 0.3486 0.1514 0.5000
5 Tc 0.0000 0.0000 0.0000
6 Tc 0.5000 0.5000 0.0000
7 W 0.3559 0.8559 0.0000
8 W 0.8559 0.6441 0.0000
9 W 0.6441 0.1441 0.0000
10 W 0.1441 0.3559 0.0000

Calculated values
- ΔE_f (raw) (eV per atom) = 0.798
- total magnetization (μB per formula unit) = 0.00
- E above lowest polymorph (eV per atom) = 0.0000



(4)
Here is a relaxed structure of Ir2OsRu from the Alexandria database. Energies are from PBE.

Cell: 4.2242 2.7164 5.2502 Å, 75.12 90.00 90.00°
Element x y z (fractional)
1 Ir 0.0000 0.1988 0.9776
2 Ir 0.5000 0.0509 0.2730
3 Os 0.0000 0.4545 0.4677
4 Ru 0.5000 0.7958 0.7816

Calculated values
- DFT formation energy (eV per formula unit) = 0.567
- total magnetization (μB per formula unit) = 0.00
- E above lowest polymorph (eV per atom) = 0.1372



(5)
Here is a relaxed structure of Rb2TbScO4 from the Alexandria database. Energies are from PBE.

Cell: 7.1397 7.1397 7.2670 Å, 120.59 120.59 89.84°
Element x y z (fractional)
1 Rb 0.5000 0.0000 0.0000
2 Rb 0.5000 0.0000 0.5000
3 Rb 0.0000 0.0000 0.5000
4 Rb 0.5000 0.5000 0.0000
5 Tb 0.0000 0.5000 0.0000
6 Tb 0.0000 0.5000 0.5000
7 Sc 0.5000 0.5000 0.5000
8 Sc 0.0000 0.0000 0.0000
9 O 0.1787 0.7393 0.9589
10 O 0.7607 0.3214 0.5411
11 O 0.2393 0.6786 0.4589
12 O 0.8214 0.2607 0.0411
13 O 0.7688 0.7314 0.9454
14 O 0.7686 0.7312 0.5546
15 O 0.2314 0.2688 0.4454
16 O 0.2312 0.2686 0.0546

Calculated values
- ΔE_f (raw) (eV per atom) = -2.519
- total magnetization (μB per formula unit) = 0.00



(6)
Here is a relaxed structure of La12BiRu6 from the Alexandria database. Energies are from PBE.

Cell: 8.9726 8.9726 8.9726 Å, 109.47 109.47 109.47°
Element x y z (fractional)
1 La 0.3110 0.1183 0.8073
2 La 0.3110 0.5037 0.1927
3 La 0.6890 0.4963 0.8073
4 La 0.6890 0.8817 0.1927
5 La 0.1183 0.8073 0.3110
6 La 0.5037 0.1927 0.3110
7 La 0.4963 0.8073 0.6890
8 La 0.8817 0.1927 0.6890
9 La 0.8073 0.3110 0.1183
10 La 0.1927 0.3110 0.5037
11 La 0.8073 0.6890 0.4963
12 La 0.1927 0.6890 0.8817
13 Bi 0.0000 0.0000 0.0000
14 Ru 0.3681 0.5000 0.8681
15 Ru 0.6319 0.5000 0.1319
16 Ru 0.5000 0.8681 0.3681
17 Ru 0.5000 0.1319 0.6319
18 Ru 0.8681 0.3681 0.5000
19 Ru 0.1319 0.6319 0.5000

Calculated values
- DFT formation energy (eV per formula unit) = -5.769
- total magnetization (μB per formula unit) = 0.00



(7)
Here is a relaxed structure of NaGe3S from the Alexandria database. Energies are from PBE.

Cell: 5.0434 5.0434 5.0434 Å, 90.00 90.00 90.00°
Element x y z (fractional)
1 Na 0.5000 0.5000 0.5000
2 Ge 0.0000 0.5000 0.0000
3 Ge 0.0000 0.0000 0.5000
4 Ge 0.5000 0.0000 0.0000
5 S 0.0000 0.0000 0.0000

Calculated values
- ΔE_f (raw) (eV per atom) = 0.363
- total magnetization (μB per formula unit) = 0.00
- E above lowest polymorph (eV per atom) = 0.0000



(8)
Here is a relaxed structure of Rb2NaCu from the Alexandria database. Energies are from PBE.

Cell: 6.3274 6.3274 6.3274 Å, 60.00 60.00 60.00°
Element x y z (fractional)
1 Na 0.0000 0.0000 0.0000
2 Cu 0.5000 0.5000 0.5000
3 Rb 0.2500 0.2500 0.2500
4 Rb 0.7500 0.7500 0.7500

Calculated values
- DFT formation energy (eV per formula unit) = 1.275
- total magnetization (μB per formula unit) = 0.00
- E above lowest polymorph (eV per atom) = 0.0195



(9)
Here is a relaxed structure of Ba2Ga4Co from the Alexandria database. Energies are from PBE.

Cell: 4.6726 4.6726 9.2174 Å, 104.68 104.68 90.00°
Element x y z (fractional)
1 Co 0.0000 0.0000 0.0000
2 Ba 0.6572 0.6572 0.3143
3 Ba 0.3428 0.3428 0.6857
4 Ga 0.8645 0.8645 0.7290
5 Ga 0.1355 0.1355 0.2710
6 Ga 0.0000 0.5000 0.0000
7 Ga 0.5000 0.0000 0.0000

Calculated values
- DFT formation energy (eV per formula unit) = -2.207
- total magnetization (μB per formula unit) = 0.00



(10)
Here is a relaxed structure of PrNd4Sm2Tm from the Alexandria database. Energies are from PBE.

Cell: 5.1658 5.1566 11.5242 Å, 63.43 90.00 90.00°
Element x y z (fractional)
1 Pr 0.5000 0.5000 0.0000
2 Nd 0.0000 0.7544 0.7461
3 Nd 0.0000 0.2456 0.2539
4 Nd 0.5000 0.7460 0.2536
5 Nd 0.5000 0.2540 0.7464
6 Sm 0.0000 0.0000 0.0000
7 Sm 0.5000 0.0000 0.5000
8 Tm 0.0000 0.5000 0.5000

Calculated values
- DFT formation energy (eV per formula unit) = 0.093
- total magnetization (μB per formula unit) = 0.00



(11)
Here is a relaxed structure of SrHo2Hg9 from the Alexandria database. Energies are from PBE.

Cell: 4.7377 4.7377 13.7245 Å, 90.00 90.00 90.00°
Element x y z (fractional)
1 Sr 0.0000 0.0000 0.0000
2 Ho 0.0000 0.0000 0.3420
3 Ho 0.0000 0.0000 0.6580
4 Hg 0.5000 0.5000 0.0000
5 Hg 0.5000 0.5000 0.3444
6 Hg 0.5000 0.5000 0.6556
7 Hg 0.5000 0.0000 0.1815
8 Hg 0.5000 0.0000 0.5000
9 Hg 0.5000 0.0000 0.8185
10 Hg 0.0000 0.5000 0.1815
11 Hg 0.0000 0.5000 0.5000
12 Hg 0.0000 0.5000 0.8185

Calculated values
- DFT formation energy (eV per formula unit) = -3.889
- total magnetization (μB per formula unit) = 0.00



(12)
Here is a relaxed structure of InBSb2I from the Alexandria database. Energies are from PBE.

Cell: 5.6376 5.6376 6.0028 Å, 90.00 90.00 90.00°
Element x y z (fractional)
1 I 0.0000 0.0000 0.5000
2 Sb 0.0000 0.5000 0.0000
3 Sb 0.5000 0.0000 0.0000
4 B 0.5000 0.5000 0.5000
5 In 0.0000 0.0000 0.0000

Calculated values
- ΔE_f (raw) (eV per atom) = 1.505
- total magnetization (μB per formula unit) = 0.79
- E above lowest polymorph (eV per atom) = 0.8207



(13)
Here is a relaxed structure of YHo4In4 from the Alexandria database. Energies are from PBE.

Cell: 7.1809 7.1809 10.5471 Å, 90.00 90.00 90.00°
Element x y z (fractional)
1 Y 0.0000 0.0000 0.0000
2 Y 0.5000 0.5000 0.5000
3 Ho 0.2289 0.5000 0.9159
4 Ho 0.7711 0.5000 0.9159
5 Ho 0.5000 0.7711 0.0841
6 Ho 0.5000 0.2289 0.0841
7 Ho 0.0000 0.7289 0.4159
8 Ho 0.0000 0.2711 0.4159
9 Ho 0.2711 0.0000 0.5841
10 Ho 0.7289 0.0000 0.5841
11 In 0.5000 0.7803 0.7850
12 In 0.5000 0.2197 0.7850
13 In 0.7803 0.5000 0.2150
14 In 0.2197 0.5000 0.2150
15 In 0.2803 0.0000 0.2850
16 In 0.7197 0.0000 0.2850
17 In 0.0000 0.2803 0.7150
18 In 0.0000 0.7197 0.7150

Calculated values
- DFT formation energy (eV per formula unit) = -1.198
- total magnetization (μB per formula unit) = 0.00



(14)
Here is a relaxed structure of ZnW2Cl from the Alexandria database. Energies are from PBE.

Cell: 6.4798 6.4798 6.4798 Å, 152.17 140.09 49.35°
Element x y z (fractional)
1 Cl 0.1949 0.6949 0.5000
2 W 0.0002 0.0002 0.0000
3 W 0.8424 0.3424 0.5000
4 Zn 0.4626 0.4626 0.0000

Calculated values
- ΔE_f (raw) (eV per atom) = 0.692
- total magnetization (μB per formula unit) = 0.00
- E above lowest polymorph (eV per atom) = 0.3858



(15)
Here is a relaxed structure of HfU4P5 from the Alexandria database. Energies are from PBE.

Cell: 3.8487 5.4890 10.3406 Å, 105.39 100.73 90.00°
Element x y z (fractional)
1 Hf 0.0000 0.0000 0.0000
2 U 0.4008 0.4008 0.8016
3 U 0.8028 0.8028 0.6056
4 U 0.1972 0.1972 0.3944
5 U 0.5992 0.5992 0.1984
6 P 0.5942 0.0942 0.1884
7 P 0.7992 0.2992 0.5983
8 P 0.2008 0.7008 0.4017
9 P 0.0000 0.5000 0.0000
10 P 0.4058 0.9058 0.8116

Calculated values
- DFT formation energy (eV per formula unit) = -10.321
- total magnetization (μB per formula unit) = 7.94



(16)
Here is a relaxed structure of AgSeS from the Alexandria database. Energies are from PBE.

Cell: 4.6373 5.0639 6.4463 Å, 90.58 108.97 92.85°
Element x y z (fractional)
1 S 0.4879 0.8655 0.8318
2 S 0.5893 0.2653 0.8661
3 Se 0.0194 0.3031 0.1665
4 Se 0.8394 0.3051 0.4813
5 Ag 0.6648 0.7916 0.4753
6 Ag 0.1318 0.7832 0.0472

Calculated values
- ΔE_f (raw) (eV per atom) = 0.078
- total magnetization (μB per formula unit) = 0.00
- E above lowest polymorph (eV per atom) = 0.0864



(17)
Here is a relaxed structure of Sr2LiPb3 from the Alexandria database. Energies are from PBE.

Cell: 5.1833 6.7473 6.5102 Å, 75.39 66.54 67.41°
Element x y z (fractional)
1 Sr 0.5460 0.1907 0.7172
2 Sr 0.4493 0.8000 0.3014
3 Li 0.1734 0.4000 0.2532
4 Pb 0.8631 0.5862 0.6877
5 Pb 0.8146 0.2337 0.1371
6 Pb 0.1535 0.7894 0.9035

Calculated values
- DFT formation energy (eV per formula unit) = -2.538
- total magnetization (μB per formula unit) = 0.00



(18)
Here is a relaxed structure of K2RbSn2Br7 from the Alexandria database. Energies are from PBE.

Cell: 5.9146 6.5142 13.7359 Å, 103.72 102.43 90.00°
Element x y z (fractional)
1 K 0.2775 0.8103 0.5550
2 K 0.7225 0.2553 0.4450
3 Rb 0.0000 0.1106 0.0000
4 Sn 0.3902 0.4064 0.7805
5 Sn 0.6098 0.6260 0.2195
6 Br 0.4031 0.8369 0.8062
7 Br 0.7273 0.7627 0.4546
8 Br 0.1127 0.5754 0.2254
9 Br 0.5969 0.0307 0.1938
10 Br 0.2727 0.3081 0.5454
11 Br 0.8873 0.3500 0.7746
12 Br 0.5000 0.4271 0.0000

Calculated values
- ΔE_f (raw) (eV per atom) = -1.251
- total magnetization (μB per formula unit) = 0.00



(19)
Here is a relaxed structure of AcZn2GaIr from the Alexandria database. Energies are from PBE.

Cell: 4.5086 4.5006 5.9645 Å, 112.17 112.21 90.00°
Element x y z (fractional)
1 Ac 0.4405 0.4405 0.8810
2 Zn 0.6888 0.1888 0.3777
3 Zn 0.0725 0.0725 0.1450
4 Ga 0.8121 0.8121 0.6241
5 Ir 0.1983 0.6983 0.3965

Calculated values
- DFT formation energy (eV per formula unit) = -1.975
- total magnetization (μB per formula unit) = 0.00



(20)
Here is a relaxed structure of Ce8Ru2Rh from the Alexandria database. Energies are from PBE.

Cell: 5.3305 6.1314 9.0629 Å, 110.45 107.10 90.00°
Element x y z (fractional)
1 Ce 0.4054 0.5070 0.8108
2 Ce 0.6764 0.0336 0.3528
3 Ce 0.7940 0.6771 0.5880
4 Ce 0.9791 0.2142 0.9582
5 Ce 0.2060 0.3229 0.4120
6 Ce 0.3236 0.9664 0.6472
7 Ce 0.5946 0.4930 0.1892
8 Ce 0.0209 0.7858 0.0418
9 Ru 0.8370 0.2600 0.6741
10 Ru 0.1630 0.7400 0.3259
11 Rh 0.5000 0.0000 0.0000

Calculated values
- DFT formation energy (eV per formula unit) = -2.847
- total magnetization (μB per formula unit) = 3.07
- E above lowest polymorph (eV per atom) = 0.0000



(21)
Here is a relaxed structure of Ac2PrAs4Pd3 from the Alexandria database. Energies are from PBE.

Cell: 4.5861 4.5861 11.1507 Å, 90.00 90.00 90.00°
Element x y z (fractional)
1 Ac 0.5000 0.0000 0.2139
2 Ac 0.0000 0.5000 0.7861
3 Pr 0.5000 0.5000 0.5000
4 As 0.5000 0.5000 0.0000
5 As 0.0000 0.0000 0.0000
6 As 0.5000 0.0000 0.6619
7 As 0.0000 0.5000 0.3381
8 Pd 0.0000 0.0000 0.5000
9 Pd 0.5000 0.0000 0.8928
10 Pd 0.0000 0.5000 0.1072

Calculated values
- DFT formation energy (eV per formula unit) = -9.788
- total magnetization (μB per formula unit) = 0.00



(22)
Here is a relaxed structure of BeZnTc3 from the Alexandria database. Energies are from PBE.

Cell: 4.4691 4.4691 4.4691 Å, 90.00 90.00 90.00°
Element x y z (fractional)
1 Be 0.5000 0.5000 0.5000
2 Zn 0.0000 0.0000 0.0000
3 Tc 0.0000 0.5000 0.0000
4 Tc 0.0000 0.0000 0.5000
5 Tc 0.5000 0.0000 0.0000

Calculated values
- DFT formation energy (eV per formula unit) = 9.885
- total magnetization (μB per formula unit) = 0.00
- E above lowest polymorph (eV per atom) = 1.2915



(23)
Here is a relaxed structure of Pu3Au5 from the Alexandria database. Energies are from PBE.

Cell: 5.9522 7.8258 9.3293 Å, 83.03 71.40 67.65°
Element x y z (fractional)
1 Pu 0.9184 0.3813 0.6608
2 Pu 0.7003 0.3813 0.3392
3 Pu 0.8292 0.8813 0.8392
4 Pu 0.2895 0.8813 0.1608
5 Pu 0.5567 0.8867 0.5000
6 Pu 0.3067 0.3867 0.0000
7 Au 0.4322 0.7211 0.8341
8 Au 0.8466 0.7211 0.1659
9 Au 0.5163 0.2211 0.6659
10 Au 0.2625 0.2211 0.3341
11 Au 0.7372 0.1018 0.1218
12 Au 0.1610 0.1018 0.8782
13 Au 0.1090 0.6018 0.3782
14 Au 0.2892 0.6018 0.6218
15 Au 0.0061 0.9878 0.5000
16 Au 0.7561 0.4878 0.0000

Calculated values
- DFT formation energy (eV per formula unit) = -3.078
- total magnetization (μB per formula unit) = 17.33